ZnCdSeO: relaxed, PBE.

```
data_ZnCdSeO
_symmetry_space_group_name_H-M 'C m c m'
_symmetry_Int_Tables_number 63
_symmetry_space_group_name_Hall '-C 2c 2'
_cell_length_a 2.9235
_cell_length_b 15.8962
_cell_length_c 5.6361
_cell_angle_alpha 90.00
_cell_angle_beta 90.00
_cell_angle_gamma 90.00
loop_
_atom_site_label
_atom_site_type_symbol
_atom_site_fract_x
_atom_site_fract_y
_atom_site_fract_z
_atom_site_occupancy
Zn1 Zn 0.0000 0.0324 0.2500 1
Cd1 Cd 0.0000 0.3516 0.2500 1
Se1 Se 0.0000 0.3168 0.7500 1
O1 O 0.0000 0.5000 0.0000 1
```

Computed properties:
For the polymorph energy (0 for the lowest one), the calculation gives 402 meV per atom. The final energy comes out at -50.80 eV per cell.